# 1
Density functional theory data (GGA-PBE) for an optimized crystal structure of CoBi2C.

a b c (Å): 5.830 5.830 6.710
angles (deg): 64.25 64.25 90.00
Atoms (fractional coordinates):
Bi 0.875 0.848 0.750
Co 0.750 0.250 0.500
Co 0.000 0.000 0.000
C 0.500 0.500 0.000
Bi 0.598 0.125 0.250
Bi 0.375 0.402 0.750
Bi 0.152 0.625 0.250
C 0.250 0.750 0.500

M_tot ... 0.2452 μB/atom
E_form ... 1.096 eV per atom
Energy ... -4.93 eV/atom
SG ... I-42d, No. 122

=====

# 2
Density functional theory data (GGA-PBE) for an optimized crystal structure of CoBiC3.

a b c (Å): 4.414 4.414 4.414
angles (deg): 90.00 90.00 90.00
Atoms (fractional coordinates):
Bi 0.000 0.000 0.000
Co 0.500 0.500 0.500
C 0.000 0.500 0.000
C 0.000 0.000 0.500
C 0.500 0.000 0.000

M_tot ... 0.1719 μB/atom
E_form ... 3.804 eV per atom
Energy ... -3.93 eV/atom
SG ... Pm-3m, No. 221
Energy above the lowest structure with this stoichiometry ... 1744 meV/atom

=====

Q: Among the records above, which one has the highest M_tot?
A: CoBi2C

=====

Q: Which value of energy does entry 1 give?
A: -4.93 eV/atom